[1]
Material: ReTcPt4
Method: DFT, PBE
State: relaxed

Values from the calculation:
* energy relative to the elements: 0.47 eV per atom

Unit cell a=7.306 b=7.306 c=7.306 alpha=90.00 beta=90.00 gamma=90.00
Space group F-43m (No. 216)
Asymmetric unit:
Re 0.000 0.000 0.000 [4 per cell]
Tc 0.250 0.250 0.250 [4 per cell]
Pt 0.125 0.125 0.625 [16 per cell]

[2]
Material: TaSnTeI2
Method: DFT, PBE
State: relaxed

Values from the calculation:
* energy relative to the elements, uncorrected: 0.37 eV per atom

Unit cell a=5.573 b=5.573 c=5.475 alpha=90.00 beta=90.00 gamma=90.00
Space group P4/mmm (No. 123)
Asymmetric unit:
Ta 0.000 0.000 0.000 [1 per cell]
Sn 0.500 0.500 0.500 [1 per cell]
Te 0.000 0.000 0.500 [1 per cell]
I 0.000 0.500 0.000 [2 per cell]

| no. | distance to the lowest polymorph of the same formula (meV per atom) | DOS at the Fermi energy (states/eV/cell) |
| --- | --- | --- |
| 1 | 635.3 | 19.62 |
| 2 | 0.0 | 5.67 |